(1)
The following is a DFT calculation (GGA-PBE) of an optimized crystal structure of CePt4.

Values from the calculation:
- Density of states at the Fermi level: 0.9624 states/eV/atom
- Magnetization: 0.04 μB per atom
- DFT formation energy: -631 meV per atom

Cell: 7.967 7.967 7.967 Å, 109.47 109.47 109.47°
Fractional positions:
Ce (0.000, 0.000, 0.553)
Ce (0.000, 0.553, 0.000)
Ce (0.447, 0.447, 0.447)
Ce (0.553, 0.000, 0.000)
Pt (0.000, 0.000, 0.219)
Pt (0.000, 0.219, 0.000)
Pt (0.000, 0.349, 0.349)
Pt (0.000, 0.651, 0.651)
Pt (0.219, 0.000, 0.000)
Pt (0.250, 0.500, 0.750)
Pt (0.250, 0.750, 0.500)
Pt (0.349, 0.000, 0.349)
Pt (0.349, 0.349, 0.000)
Pt (0.500, 0.250, 0.750)
Pt (0.500, 0.750, 0.250)
Pt (0.651, 0.000, 0.651)
Pt (0.651, 0.651, 0.000)
Pt (0.750, 0.250, 0.500)
Pt (0.750, 0.500, 0.250)
Pt (0.781, 0.781, 0.781)


(2)
The following is a DFT calculation (GGA-PBE) of an optimized crystal structure of Ce3Pt.

Values from the calculation:
- Density of states at the Fermi level: 3.2634 states/eV/atom
- Magnetization: 0.73 μB per atom
- DFT formation energy: -382 meV per atom

Cell: 5.083 5.083 5.083 Å, 60.00 60.00 60.00°
Fractional positions:
Ce (0.000, 0.000, 0.000)
Ce (0.250, 0.250, 0.250)
Ce (0.750, 0.750, 0.750)
Pt (0.500, 0.500, 0.500)


(3)
The following is a DFT calculation (GGA-PBE) of an optimized crystal structure of CePt4.

Values from the calculation:
- Density of states at the Fermi level: 0.5113 states/eV/atom
- Magnetization: 0.00 μB per atom
- DFT formation energy: -793 meV per atom

Cell: 7.947 7.947 7.947 Å, 148.32 136.90 54.47°
Fractional positions:
Ce (0.360, 0.110, 0.250)
Ce (0.640, 0.890, 0.750)
Pt (0.000, 0.500, 0.500)
Pt (0.146, 0.896, 0.250)
Pt (0.178, 0.694, 0.484)
Pt (0.290, 0.306, 0.984)
Pt (0.500, 0.500, 0.000)
Pt (0.710, 0.694, 0.016)
Pt (0.822, 0.306, 0.516)
Pt (0.854, 0.104, 0.750)